(1)
The following is a PBE calculation of YHgTeI2 after structural relaxation, from the Alexandria database.

## Properties
total DFT energy (no corrections) = -2.56 eV per atom
density of states at the Fermi level = 3.315 states/eV per cell
distance to the lowest polymorph of the same formula = 3.61 eV/f.u.
crystal system = tetragonal

Unit cell a=5.7499 b=5.7499 c=5.7301 alpha=90.00 beta=90.00 gamma=90.00
Last column: nearest neighbours and their distance in Å.
Positions (direct):
I: 0.0000 0.5000 0.0000  2 Hg 2.87
I: 0.5000 0.0000 0.0000  2 Hg 2.87
Y: 0.5000 0.5000 0.5000  8 I 4.06, 4 Te 4.07
Te: 0.0000 0.0000 0.5000  2 Hg 2.87
Hg: 0.0000 0.0000 0.0000  2 Te 2.87, 4 I 2.87

(2)
The following is a PBE calculation of Fe2CuCl after structural relaxation, from the Alexandria database.

## Properties
total DFT energy (no corrections) = -5.35 eV per atom
density of states at the Fermi level = 1.840 states/eV per cell
distance to the lowest polymorph of the same formula = 0.77 eV/f.u.
crystal system = tetragonal

Unit cell a=2.8725 b=2.8725 c=6.6166 alpha=90.00 beta=90.00 gamma=90.00
Last column: nearest neighbours and their distance in Å.
Positions (direct):
Fe: 0.0000 0.0000 0.9848  4 Cu 2.56, 4 Cl 2.68
Fe: 0.0000 0.0000 0.5152  4 Cu 2.56, 4 Cl 2.68
Cu: 0.5000 0.5000 0.7500  8 Fe 2.56
Cl: 0.5000 0.5000 0.2500  8 Fe 2.68, 4 Cl 2.87